1.
4
Lattice="4.574 0.000 0.000 2.287 3.961 0.000 2.287 1.320 7.551" Properties=species:S:1:pos:R:3 comment="AcPuTe2 PBE optimized geometry" dft_energy_ev_per_atom=-7.4731 relative_energy_mev_per_atom=0 raw_formation_energy_ev_per_atom=-1.292 density_g_cm3=8.814 magmom_total_mub_per_fu=6.1 vol_a3_per_atom=34.204 pbc="T T T"
Ac 4.574 2.641 3.776
Pu 0.000 0.000 0.000
Te 2.287 1.320 1.739
Te 6.861 3.961 5.812

2.
4
Lattice="3.668 0.000 0.000 0.000 3.668 0.000 0.000 0.000 7.131" Properties=species:S:1:pos:R:3 comment="CeHg2Au PBE optimized geometry" formation_energy_ev_per_atom=-0.224 dft_energy_ev_per_atom=-2.6773 density_g_cm3=12.779 magmom_total_mub_per_fu=1.4 vol_a3_per_atom=23.984 pbc="T T T"
Au 1.834 1.834 0.000
Hg 0.000 0.000 5.564
Hg 0.000 0.000 1.567
Ce 1.834 1.834 3.566

3.
6
Lattice="-0.599 1.762 -2.054 -0.688 -2.675 -0.225 -12.204 2.650 5.833" Properties=species:S:1:pos:R:3 comment="IrPd5 PBE optimized geometry" formation_energy_ev_per_atom=0.083 dft_energy_ev_per_atom=-5.7211 relative_energy_mev_per_atom=0 density_g_cm3=13.118 magmom_total_mub_per_fu=0.5 vol_a3_per_atom=15.281 pbc="T T T"
Ir 0.000 0.000 0.000
Pd -10.860 2.505 3.446
Pd -8.161 1.772 3.901
Pd -6.731 1.608 1.473
Pd -4.043 0.878 1.932
Pd -2.602 0.712 -0.501

4.
4
Lattice="0.000 2.828 2.828 2.828 0.000 2.828 2.828 2.828 0.000" Properties=species:S:1:pos:R:3 comment="MnCoCu2 PBE optimized geometry" formation_energy_ev_per_atom=0.473 dft_energy_ev_per_atom=-5.6437 density_g_cm3=8.849 magmom_total_mub_per_fu=0.0 vol_a3_per_atom=11.304 pbc="T T T"
Mn 0.000 0.000 0.000
Co 2.828 2.828 2.828
Cu 1.414 1.414 1.414
Cu 4.241 4.241 4.241

5.
14
Lattice="5.974 0.000 0.000 0.000 9.095 0.000 0.000 -4.547 7.876" Properties=species:S:1:pos:R:3 comment="Nd3PuGe3 PBE optimized geometry" formation_energy_ev_per_atom=-0.470 dft_energy_ev_per_atom=-6.5392 density_g_cm3=6.944 magmom_total_mub_per_fu=5.1 vol_a3_per_atom=30.564 pbc="T T T"
Nd 4.480 3.230 5.284
Nd 4.480 2.904 0.155
Nd 4.480 7.509 2.437
Nd 1.493 1.318 2.592
Nd 1.493 1.643 7.721
Nd 1.493 -2.961 5.439
Pu 1.493 4.547 2.625
Pu 4.480 0.000 5.251
Ge 1.493 3.008 5.124
Ge 1.493 3.153 0.043
Ge 1.493 7.481 2.709
Ge 4.480 1.539 2.752
Ge 4.480 1.395 7.833
Ge 4.480 -2.934 5.168

6.
4
Lattice="3.717 0.000 0.000 0.000 3.715 0.000 0.000 0.000 5.715" Properties=species:S:1:pos:R:3 comment="Mg2TeMo PBE optimized geometry" dft_energy_ev_per_atom=-4.0801 raw_formation_energy_ev_per_atom=0.210 density_g_cm3=5.727 magmom_total_mub_per_fu=0.0 vol_a3_per_atom=19.726 pbc="T T T"
Mg 0.000 0.000 0.108
Mg 0.000 0.000 2.749
Mo 1.858 1.857 1.429
Te 1.858 1.857 4.287

7.
4
Lattice="-2.876 -0.735 -2.130 -1.417 -2.096 2.636 -3.685 6.099 2.870" Properties=species:S:1:pos:R:3 comment="BaTa2Br PBE optimized geometry" dft_energy_ev_per_atom=-5.6557 relative_energy_mev_per_atom=1038 raw_formation_energy_ev_per_atom=1.169 density_g_cm3=9.379 magmom_total_mub_per_fu=0.0 vol_a3_per_atom=25.634 pbc="T T T"
Ba -3.067 0.109 0.970
Br -4.910 3.159 2.405
Ta -3.377 5.589 2.630
Ta -2.151 3.560 1.675

8.
12
Lattice="6.331 0.000 0.000 -3.166 5.483 0.000 0.000 0.000 5.193" Properties=species:S:1:pos:R:3 comment="AlF PBE optimized geometry" dft_energy_ev_per_atom=-4.7605 raw_formation_energy_ev_per_atom=-1.954 density_g_cm3=2.541 magmom_total_mub_per_fu=0.0 vol_a3_per_atom=15.024 pbc="T T T"
Al 3.166 3.932 1.298
Al -1.822 4.707 3.895
Al 1.344 0.776 1.298
Al 0.000 1.552 3.895
Al 4.988 0.776 1.298
Al 1.822 4.707 3.895
F 3.166 0.362 1.298
F 1.269 2.923 3.895
F 4.435 2.560 1.298
F 0.000 5.121 3.895
F 1.897 2.560 1.298
F -1.269 2.923 3.895

9.
9
Lattice="7.494 0.000 0.000 -3.747 5.674 0.900 0.000 -0.377 7.166" Properties=species:S:1:pos:R:3 comment="Rb2Tl6Ag PBE optimized geometry" formation_energy_ev_per_atom=-0.028 dft_energy_ev_per_atom=-2.1376 density_g_cm3=8.135 magmom_total_mub_per_fu=0.0 vol_a3_per_atom=34.137 pbc="T T T"
Rb 3.747 1.900 1.258
Rb 0.000 3.396 6.808
Tl 5.423 0.865 4.966
Tl 3.747 3.824 5.466
Tl 2.070 0.865 4.966
Tl -1.677 4.432 3.100
Tl 0.000 1.473 2.600
Tl 1.677 4.432 3.100
Ag 0.000 0.000 0.000

10.
20
Lattice="5.592 0.000 0.000 0.000 8.677 0.000 0.000 0.000 8.549" Properties=species:S:1:pos:R:3 comment="La2GeAsPt6 PBE optimized geometry" formation_energy_ev_per_atom=-0.918 dft_energy_ev_per_atom=-6.4546 density_g_cm3=12.777 magmom_total_mub_per_fu=0.0 vol_a3_per_atom=20.741 pbc="T T T"
La 2.796 6.343 2.129
La 0.000 2.334 6.404
La 2.796 6.343 6.420
La 0.000 2.334 2.145
Ge 2.796 2.294 4.275
Ge 0.000 6.382 0.000
As 0.000 6.358 4.275
As 2.796 2.318 0.000
Pt 2.796 0.989 2.104
Pt 2.796 0.989 6.445
Pt 0.000 7.688 2.171
Pt 0.000 7.688 6.378
Pt 1.391 0.095 4.275
Pt 4.201 0.095 4.275
Pt 1.403 4.325 4.275
Pt 4.189 4.325 4.275
Pt 4.199 4.352 0.000
Pt 1.393 4.352 0.000
Pt 1.405 8.582 0.000
Pt 4.187 8.582 0.000

11.
8
Lattice="5.996 0.000 0.000 0.000 5.699 1.662 0.000 3.530 9.097" Properties=species:S:1:pos:R:3 comment="La4PmSm2Sc PBE optimized geometry" formation_energy_ev_per_atom=0.050 dft_energy_ev_per_atom=-4.9784 density_g_cm3=6.302 magmom_total_mub_per_fu=0.0 vol_a3_per_atom=34.462 pbc="T T T"
La 0.000 6.965 7.967
La 5.996 2.264 2.792
La 2.998 5.121 3.646
La 2.998 4.108 7.113
Pm 2.998 2.850 0.831
Sm 0.000 3.530 9.097
Sm 2.998 1.765 4.549
Sc 0.000 4.615 5.380

12.
5
Lattice="5.401 0.000 0.000 0.000 5.401 0.000 0.000 0.000 4.994" Properties=species:S:1:pos:R:3 comment="BaLiTl2Pd PBE optimized geometry" formation_energy_ev_per_atom=-0.277 dft_energy_ev_per_atom=-3.0297 density_g_cm3=7.518 magmom_total_mub_per_fu=0.0 vol_a3_per_atom=29.131 pbc="T T T"
Tl 0.000 2.700 0.000
Tl 2.700 0.000 0.000
Ba 2.700 2.700 2.497
Pd 0.000 0.000 0.000
Li 0.000 0.000 2.497